This record from Alexandria describes an optimized crystal structure of Pr3Sm8Y4. The functional is PBE-GGA.

CIF file:
```
data_Pr3Sm8Y4
_chemical_formula_sum 'Pr6 Sm16 Y8'
_symmetry_space_group_name_H-M 'C 1 2/m 1'
_symmetry_Int_Tables_number 12
_symmetry_space_group_name_Hall '-C 2y'
_cell_length_a 13.999
_cell_length_b 12.240
_cell_length_c 6.940
_cell_angle_alpha 90.00
_cell_angle_beta 119.13
_cell_angle_gamma 90.00
loop_
_atom_site_label
_atom_site_type_symbol
_atom_site_fract_x
_atom_site_fract_y
_atom_site_fract_z
Pr1 Pr 0.000 0.000 0.000
Pr2 Pr 0.250 0.250 0.000
Sm1 Sm 0.000 0.204 0.500
Sm2 Sm 0.000 0.251 0.000
Sm3 Sm 0.203 0.000 0.691
Sm4 Sm 0.248 0.500 0.764
Y1 Y 0.000 0.500 0.000
Y2 Y 0.000 0.500 0.500
Y3 Y 0.250 0.250 0.500
```

Calculated values
ΔH_f (0 K) = 0.33 eV/atom
DFT total energy = -4.862 eV/atom
V = 34.62 A^3/atom

---

This record from Alexandria describes an optimized crystal structure of CoSe2Br. The functional is PBE-GGA.

CIF file:
```
data_CoSe2Br
_chemical_formula_sum 'Co1 Se2 Br1'
_symmetry_space_group_name_H-M 'P 1 2/m 1'
_symmetry_Int_Tables_number 10
_symmetry_space_group_name_Hall '-P 2y'
_cell_length_a 4.746
_cell_length_b 3.642
_cell_length_c 5.114
_cell_angle_alpha 90.00
_cell_angle_beta 109.59
_cell_angle_gamma 90.00
loop_
_atom_site_label
_atom_site_type_symbol
_atom_site_fract_x
_atom_site_fract_y
_atom_site_fract_z
Co1 Co 0.000 0.000 0.000
Se1 Se 0.341 0.500 0.144
Br1 Br 0.000 0.000 0.500
```

Calculated values
distance to the lowest polymorph of the same formula = 65 meV/atom
ΔE_f (raw) = -0.14 eV/atom
DFT total energy = -4.078 eV/atom
V = 20.83 A^3/atom

---

This record from Alexandria describes an optimized crystal structure of LiScOsW. The functional is PBE-GGA.

CIF file:
```
data_LiScOsW
_chemical_formula_sum 'Li4 Sc4 Os4 W4'
_symmetry_space_group_name_H-M 'F -4 3 m'
_symmetry_Int_Tables_number 216
_symmetry_space_group_name_Hall 'F -4 2 3'
_cell_length_a 6.307
_cell_length_b 6.307
_cell_length_c 6.307
_cell_angle_alpha 90.00
_cell_angle_beta 90.00
_cell_angle_gamma 90.00
loop_
_atom_site_label
_atom_site_type_symbol
_atom_site_fract_x
_atom_site_fract_y
_atom_site_fract_z
Li1 Li 0.000 0.000 0.000
Sc1 Sc 0.250 0.250 0.250
Os1 Os 0.000 0.000 0.500
W1 W 0.250 0.250 0.750
```

Calculated values
ΔH_f (0 K) = -0.04 eV/atom
DFT total energy = -8.152 eV/atom
V = 15.68 A^3/atom

---

This record from Alexandria describes an optimized crystal structure of Ac2SnHg3. The functional is PBE-GGA.

CIF file:
```
data_Ac2SnHg3
_chemical_formula_sum 'Ac2 Sn1 Hg3'
_symmetry_space_group_name_H-M 'P m m 2'
_symmetry_Int_Tables_number 25
_symmetry_space_group_name_Hall 'P 2 -2'
_cell_length_a 4.077
_cell_length_b 5.082
_cell_length_c 8.758
_cell_angle_alpha 90.00
_cell_angle_beta 90.00
_cell_angle_gamma 90.00
loop_
_atom_site_label
_atom_site_type_symbol
_atom_site_fract_x
_atom_site_fract_y
_atom_site_fract_z
Ac1 Ac 0.000 0.000 0.000
Ac2 Ac 0.000 0.500 0.499
Sn1 Sn 0.500 0.000 0.334
Hg1 Hg 0.500 0.000 0.671
Hg2 Hg 0.500 0.500 0.160
Hg3 Hg 0.500 0.500 0.828
```

Calculated values
ΔH_f (0 K) = -0.50 eV/atom
distance to the lowest polymorph of the same formula = 20 meV/atom
DFT total energy = -2.685 eV/atom
V = 30.24 A^3/atom

---

This record from Alexandria describes an optimized crystal structure of Pr6Dy12Y. The functional is PBE-GGA.

CIF file:
```
data_Pr6Dy12Y
_chemical_formula_sum 'Pr18 Dy36 Y3'
_symmetry_space_group_name_H-M 'R -3 m'
_symmetry_Int_Tables_number 166
_symmetry_space_group_name_Hall '-R 3 2"'
_cell_length_a 11.1748
_cell_length_b 11.1748
_cell_length_c 17.6607
_cell_angle_alpha 90.00
_cell_angle_beta 90.00
_cell_angle_gamma 120.00
loop_
_atom_site_label
_atom_site_type_symbol
_atom_site_fract_x
_atom_site_fract_y
_atom_site_fract_z
Pr1 Pr 0.0678 0.5339 0.2672
Dy1 Dy 0.1009 0.5505 0.9134
Dy2 Dy 0.1057 0.2115 0.9076
Y1 Y 0.0000 0.0000 0.5000
```

Calculated values
ΔH_f (0 K) = 0.13 eV/atom
distance to the lowest polymorph of the same formula = 0 meV/atom
DFT total energy = -4.628 eV/atom
V = 33.51 A^3/atom

---

This record from Alexandria describes an optimized crystal structure of ZnFeSb2Br. The functional is PBE-GGA.

CIF file:
```
data_ZnFeSb2Br
_chemical_formula_sum 'Zn1 Fe1 Sb2 Br1'
_symmetry_space_group_name_H-M 'P 4/m m m'
_symmetry_Int_Tables_number 123
_symmetry_space_group_name_Hall '-P 4 2'
_cell_length_a 5.683
_cell_length_b 5.683
_cell_length_c 4.246
_cell_angle_alpha 90.00
_cell_angle_beta 90.00
_cell_angle_gamma 90.00
loop_
_atom_site_label
_atom_site_type_symbol
_atom_site_fract_x
_atom_site_fract_y
_atom_site_fract_z
Zn1 Zn 0.000 0.000 0.000
Fe1 Fe 0.500 0.500 0.000
Sb1 Sb 0.000 0.500 0.500
Br1 Br 0.500 0.500 0.500
```

Calculated values
ΔE_f (raw) = 1.23 eV/atom
DFT total energy = -2.697 eV/atom
V = 27.43 A^3/atom